Entry from the Alexandria database: a relaxed LiFeSb2 crystal (GGA-PBE).

Summary:
Space group: No. 160
Density of states at the Fermi level in states/eV/cell: 2.5
Energy above the lowest structure with this stoichiometry in kJ/mol of atoms: 38.36
Formation energy (no corrections) in eV/atom: 0.303
Total magnetic moment in μB/atom: 0.51

```
4
Lattice="-2.1220 0.0760 8.6566 -0.1974 -2.6654 8.5030 1.2150 0.3589 8.8227" Properties=species:S:1:pos:R:3 pbc="T T T"
Li -0.2678 -0.5409 6.3003
Sb -0.8455 -1.7076 19.8904
Sb -1.0992 -2.2199 25.8583
Fe -0.5486 -1.1080 12.9068
```

=====

Entry from the Alexandria database: a relaxed Co2B2Au crystal (GGA-PBE).

Summary:
Space group: No. 127
Density of states at the Fermi level in states/eV/cell: 5.8
Total magnetic moment in μB/atom: 0.18
ΔE_f in meV/atom: 105

```
10
Lattice="5.8401 0.0000 0.0000 0.0000 5.8401 0.0000 0.0000 0.0000 2.9392" Properties=species:S:1:pos:R:3 pbc="T T T"
B 3.5531 0.6331 0.0000
Co 2.0613 0.8588 1.4696
Co 0.8588 3.7788 1.4696
Co 3.7788 4.9813 1.4696
B 5.2070 3.5531 0.0000
B 2.2869 5.2070 0.0000
Au 2.9200 2.9200 0.0000
Co 4.9813 2.0613 1.4696
B 0.6331 2.2869 0.0000
Au 0.0000 0.0000 0.0000
```

=====

Entry from the Alexandria database: a relaxed Na3Dy3TeS8 crystal (GGA-PBE).

Summary:
Space group: No. 166
Density of states at the Fermi level in states/eV/cell: 0.0
Formation energy (no corrections) in eV/atom: -1.467
Total magnetic moment in μB/atom: 0.00

```
15
Lattice="7.9370 0.0000 0.0000 -3.9685 6.8732 -0.0252 0.0000 -4.5596 6.7415" Properties=species:S:1:pos:R:3 pbc="T T T"
Na -1.9843 3.4366 -0.0126
S 1.9326 -1.1696 1.8781
S 2.0359 3.4832 4.8382
Dy 1.9843 1.1568 3.3582
S 6.0044 -1.1696 1.8781
Dy -1.9843 1.1568 3.3582
S 0.0000 2.2967 1.8413
Na 1.9843 3.4366 -0.0126
Te 0.0000 -2.2798 3.3707
S 3.9685 2.3563 1.8651
S 3.9685 0.0169 4.8750
S 0.0000 -0.0427 4.8512
Na 0.0000 0.0000 0.0000
Dy 3.9685 -2.2798 3.3707
S -2.0359 3.4832 4.8382
```

=====

Entry from the Alexandria database: a relaxed Ti2VMo crystal (GGA-PBE).

Summary:
Space group: No. 71
Density of states at the Fermi level in states/eV/cell: 4.9
Energy above the lowest structure with this stoichiometry in kJ/mol of atoms: 44.59
Total magnetic moment in μB/atom: 0.00
ΔE_f in meV/atom: 467

```
4
Lattice="-2.8966 -4.7258 -1.7340 0.9624 2.3359 5.2295 0.4403 5.6971 1.0390" Properties=species:S:1:pos:R:3 pbc="T T T"
Ti 1.0586 6.0622 4.7306
V 0.0000 0.0000 0.0000
Ti 0.3442 1.9709 1.5380
Mo 0.7014 4.0165 3.1343
```